#A
A relaxed structure of PaSN, computed with PBE-GGA.

Cell and atoms, written as POSCAR:
```
PaSN
1.0
3.8395 0.0000 0.0000
0.0000 3.8395 0.0000
0.0000 0.0000 6.6886
Pa S N
2 2 2
Direct
0.2500 0.2500 0.1859
0.7500 0.7500 0.8141
0.2500 0.2500 0.6307
0.7500 0.7500 0.3693
0.2500 0.7500 0.0000
0.7500 0.2500 0.0000
```

Output
The space group is P4/nmm, No. 129. The calculation puts the volume at 16.43 Å³/atom. Its total magnetization is 0.0 μB per cell.

=====

#B
A relaxed structure of PaSN, computed with PBE-GGA.

Cell and atoms, written as POSCAR:
```
PaSN
1.0
-1.8537 1.8537 7.2518
1.8537 -1.8537 7.2518
1.8537 1.8537 -7.2518
Pa S N
2 2 2
Direct
0.1045 0.1045 0.0000
0.8955 0.8955 0.0000
0.3185 0.3185 0.0000
0.6815 0.6815 0.0000
0.0000 0.5000 0.5000
0.5000 0.0000 0.5000
```

Output
The space group is I4/mmm, No. 139. The calculation puts the volume at 16.61 Å³/atom. Its total magnetization is 0.0 μB per cell.

=====

Which of them is the most stable, and which is the least stable? #A and #B, in that order.

=====

#A
A relaxed structure of PaSN, computed with PBE-GGA.

Cell and atoms, written as POSCAR:
```
PaSN
1.0
1.9432 1.1219 9.9051
-1.9432 1.1219 9.9051
0.0000 -2.2438 9.9051
Pa S N
2 2 2
Direct
0.2165 0.2165 0.2165
0.7835 0.7835 0.7835
0.3978 0.3978 0.3978
0.6022 0.6022 0.6022
0.1392 0.1392 0.1392
0.8608 0.8608 0.8608
```

Output
The space group is R-3m, No. 166. The calculation puts the volume at 21.59 Å³/atom. Its total magnetization is 0.0 μB per cell.

=====

#B
A relaxed structure of PaSN, computed with PBE-GGA.

Cell and atoms, written as POSCAR:
```
PaSN
1.0
-1.6450 1.6450 4.6967
1.6450 -1.6450 4.6967
1.6450 1.6450 -4.6967
Pa S N
1 1 1
Direct
0.0000 0.0000 0.0000
0.3100 0.3100 0.0000
0.5702 0.5702 0.0000
```

Output
The space group is I4mm, No. 107. The calculation puts the volume at 16.94 Å³/atom. Its total magnetization is 0.0 μB per cell.

=====

#C
A relaxed structure of PaSN, computed with PBE-GGA.

Cell and atoms, written as POSCAR:
```
PaSN
1.0
0.0000 2.9888 2.9888
2.9888 0.0000 2.9888
2.9888 2.9888 0.0000
Pa S N
1 1 1
Direct
0.0000 0.0000 0.0000
0.2500 0.2500 0.2500
0.7500 0.7500 0.7500
```

Output
The space group is F-43m, No. 216. The calculation puts the volume at 17.80 Å³/atom. Its total magnetization is 0.0 μB per cell.

=====

#D
A relaxed structure of PaSN, computed with PBE-GGA.

Cell and atoms, written as POSCAR:
```
PaSN
1.0
3.8042 0.0000 0.0000
-1.9021 3.2945 0.0000
0.0000 0.0000 4.1212
Pa S N
1 1 1
Direct
0.0000 0.0000 0.0000
0.6667 0.3333 0.5000
0.3333 0.6667 0.0000
```

Output
The space group is P-6m2, No. 187. The calculation puts the volume at 17.22 Å³/atom. Its total magnetization is 0.0 μB per cell.

=====

Which of them is the most stable, and which is the least stable? #A and #B, in that order.

=====

#A
A relaxed structure of ScPa3N6, computed with PBE-GGA.

Cell and atoms, written as POSCAR:
```
ScPa3N6
1.0
4.5458 -5.5945 0.0000
4.5458 5.5945 0.0000
0.0000 0.0000 5.6456
Sc Pa N
2 6 12
Direct
0.1626 0.8374 0.5000
0.8374 0.1626 0.0000
0.0839 0.3137 0.5199
0.3137 0.0839 0.0199
0.3928 0.6072 0.0711
0.6072 0.3928 0.5711
0.6863 0.9161 0.5199
0.9161 0.6863 0.0199
0.0246 0.9754 0.2131
0.1042 0.5837 0.3017
0.2215 0.7785 0.8618
0.3282 0.3547 0.7966
0.3547 0.3282 0.2966
0.4163 0.8958 0.3017
0.5837 0.1042 0.8017
0.6453 0.6718 0.7966
0.6718 0.6453 0.2966
0.7785 0.2215 0.3618
0.8958 0.4163 0.8017
0.9754 0.0246 0.7131
```

Output
The space group is Cmc2_1, No. 36. The calculation puts the volume at 14.36 Å³/atom. Its total magnetization is 0.0 μB per cell.

=====

#B
A relaxed structure of ScPa3N6, computed with PBE-GGA.

Cell and atoms, written as POSCAR:
```
ScPa3N6
1.0
3.9116 -5.5356 0.0000
3.9116 5.5356 0.0000
0.0000 0.0000 3.6221
Sc Pa N
1 3 6
Direct
0.0000 0.0000 0.0000
0.0000 0.5000 0.5000
0.5000 0.0000 0.5000
0.5000 0.5000 0.0000
0.1402 0.8598 0.5000
0.1686 0.4308 0.0000
0.4308 0.1686 0.0000
0.5692 0.8314 0.0000
0.8314 0.5692 0.0000
0.8598 0.1402 0.5000
```

Output
The space group is Cmmm, No. 65. The calculation puts the volume at 15.69 Å³/atom. Its total magnetization is 0.0 μB per cell.

=====

Which of them is the most stable, and which is the least stable? #A and #B, in that order.